Entry 1:
# GGA-PBE Dy3TlCo, optimized geometry
# * spin magnetization: 0.0 Bohr magnetons per cell
# * E_tot: -24.322 eV per formula unit
# * offset from the most stable computed form: 0.002 eV per atom
# * V: 516 Å³/cell
# * D(E_F): 20.3 states/eV/cell
# * calculated formation energy: -20 kJ/mol of atoms
data_Dy3TlCo
_chemical_formula_sum 'Dy12 Tl4 Co4'
_cell_length_a 10.050
_cell_length_b 6.502
_cell_length_c 8.807
_cell_angle_alpha 90.00
_cell_angle_beta 116.19
_cell_angle_gamma 90.00
_space_group_name_H-M_alt 'C 1 2/m 1'
_space_group_IT_number 12
loop_
_space_group_symop_operation_xyz
'x,y,z'
'-x,-y,-z'
'-x,y,-z'
'x,-y,z'
'x+1/2,y+1/2,z'
'-x+1/2,-y+1/2,-z'
'-x+1/2,y+1/2,-z'
'x+1/2,-y+1/2,z'
loop_
_atom_site_label
_atom_site_type_symbol
_atom_site_fract_x
_atom_site_fract_y
_atom_site_fract_z
_atom_site_occupancy
Dy1 Dy 0.025 0.000 0.214 1
Dy2 Dy 0.184 0.500 0.878 1
Dy3 Dy 0.195 0.500 0.304 1
Tl1 Tl 0.000 0.273 0.500 1
Co1 Co 0.000 0.310 0.000 1

---

Entry 2:
# GGA-PBE Dy4TlCo2, optimized geometry
# * spin magnetization: 0.0 Bohr magnetons per cell
# * E_tot: -35.949 eV per formula unit
# * V: 345 Å³/cell
# * D(E_F): 11.6 states/eV/cell
# * calculated formation energy: -13 kJ/mol of atoms
data_Dy4TlCo2
_chemical_formula_sum 'Dy8 Tl2 Co4'
_cell_length_a 6.919
_cell_length_b 7.171
_cell_length_c 7.251
_cell_angle_alpha 99.84
_cell_angle_beta 101.49
_cell_angle_gamma 94.08
_space_group_name_H-M_alt 'P 1'
_space_group_IT_number 1
loop_
_space_group_symop_operation_xyz
'x,y,z'
loop_
_atom_site_label
_atom_site_type_symbol
_atom_site_fract_x
_atom_site_fract_y
_atom_site_fract_z
_atom_site_occupancy
Dy1 Dy 0.000 0.000 0.000 1
Dy2 Dy 0.024 0.383 0.381 1
Dy3 Dy 0.401 0.396 0.043 1
Dy4 Dy 0.478 0.095 0.644 1
Dy5 Dy 0.535 0.897 0.102 1
Dy6 Dy 0.570 0.574 0.515 1
Dy7 Dy 0.884 0.470 0.900 1
Dy8 Dy 0.914 0.970 0.490 1
Tl1 Tl 0.194 0.748 0.277 1
Tl2 Tl 0.205 0.714 0.732 1
Co1 Co 0.292 0.137 0.303 1
Co2 Co 0.635 0.238 0.344 1
Co3 Co 0.714 0.218 0.035 1
Co4 Co 0.763 0.620 0.227 1

---

Entry 3:
# GGA-PBE Dy4Tm3Co4, optimized geometry
# * spin magnetization: 0.6 Bohr magnetons per cell
# * E_tot: -61.411 eV per formula unit
# * V: 481 Å³/cell
# * D(E_F): 17.1 states/eV/cell
# * calculated formation energy: -10 kJ/mol of atoms
data_Dy4Tm3Co4
_chemical_formula_sum 'Dy8 Tm6 Co8'
_cell_length_a 3.551
_cell_length_b 8.750
_cell_length_c 15.487
_cell_angle_alpha 90.00
_cell_angle_beta 90.00
_cell_angle_gamma 90.00
_space_group_name_H-M_alt 'I m m m'
_space_group_IT_number 71
_space_group_name_Hall '-I 2 2'
loop_
_atom_site_label
_atom_site_type_symbol
_atom_site_fract_x
_atom_site_fract_y
_atom_site_fract_z
_atom_site_occupancy
Dy1 Dy 0.000 0.186 0.165 1
Tm1 Tm 0.000 0.000 0.397 1
Tm2 Tm 0.000 0.500 0.500 1
Co1 Co 0.000 0.287 0.000 1
Co2 Co 0.000 0.500 0.247 1

---

Q: Look up the calculated formation energy of the second one.
A: -13 kJ/mol of atoms

---

Q: What is the calculated formation energy in the second record?
A: -13 kJ/mol of atoms